Record 1
Computed, not measured: crystalline ErAgHg2 at its relaxed geometry at the PBE level of DFT.

Properties
- M_tot: 0.05 μB per cell
- Space-group type: P4/mmm, No. 123
- ΔE_f: -0.9 eV per formula unit
- Theoretical density: 12.53 g/cm³

Cell: 3.564 3.564 7.055 Å, 90.00 90.00 90.00°
Fractional positions:
Er 0.500 0.500 0.500
Hg 0.000 0.000 0.767
Hg 0.000 0.000 0.233
Ag 0.500 0.500 0.000

Record 2
Computed, not measured: crystalline Er6AgHg at its relaxed geometry at the PBE level of DFT.

Properties
- M_tot: 0.00 μB per cell
- Space-group type: I4/mmm, No. 139
- ΔE_f: -1.5 eV per formula unit
- Theoretical density: 9.87 g/cm³

Cell: 5.013 5.013 9.471 Å, 74.65 74.66 90.00°
Fractional positions:
Hg 0.500 0.500 0.000
Ag 0.000 0.000 0.000
Er 0.251 0.251 0.499
Er 0.110 0.610 0.779
Er 0.390 0.890 0.221
Er 0.749 0.749 0.501
Er 0.610 0.110 0.779
Er 0.890 0.390 0.221

Record 3
Computed, not measured: crystalline Er2AgHg4 at its relaxed geometry at the PBE level of DFT.

Properties
- M_tot: 0.00 μB per cell
- Space-group type: I4/mmm, No. 139
- ΔE_f: 0.5 eV per formula unit
- Theoretical density: 9.84 g/cm³
- Polymorph energy (0 for the lowest one): 332 meV/atom

Cell: 5.288 5.288 8.389 Å, 108.37 108.37 90.00°
Fractional positions:
Ag 0.000 0.000 0.000
Hg 0.810 0.810 0.619
Er 0.612 0.612 0.225
Hg 0.190 0.190 0.381
Hg 0.500 0.000 0.000
Er 0.388 0.388 0.775
Hg 0.000 0.500 0.000

Record 4
Computed, not measured: crystalline ErAg2Hg at its relaxed geometry at the PBE level of DFT.

Properties
- M_tot: 0.00 μB per cell
- Space-group type: P4/mmm, No. 123
- ΔE_f: -0.7 eV per formula unit
- Theoretical density: 11.06 g/cm³

Cell: 4.407 4.460 4.460 Å, 90.00 90.00 90.00°
Fractional positions:
Hg 0.500 0.000 0.000
Ag 0.000 0.500 0.000
Er 0.500 0.500 0.500
Ag 0.000 0.000 0.500

Record 5
Computed, not measured: crystalline Er5AgHg4 at its relaxed geometry at the PBE level of DFT.

Properties
- M_tot: 0.00 μB per cell
- Space-group type: P4/mmm, No. 123
- ΔE_f: -4.5 eV per formula unit
- Theoretical density: 11.71 g/cm³

Cell: 3.674 3.674 18.337 Å, 90.00 90.00 90.00°
Fractional positions:
Er 0.500 0.500 0.500
Er 0.500 0.500 0.904
Ag 0.000 0.000 0.000
Hg 0.000 0.000 0.198
Er 0.500 0.500 0.702
Hg 0.000 0.000 0.601
Hg 0.000 0.000 0.399
Er 0.500 0.500 0.096
Hg 0.000 0.000 0.802
Er 0.500 0.500 0.298

Record 6
Computed, not measured: crystalline ErAgHg5 at its relaxed geometry at the PBE level of DFT.

Properties
- M_tot: 0.00 μB per cell
- Space-group type: P4/mmm, No. 123
- ΔE_f: -1.2 eV per formula unit
- Theoretical density: 12.49 g/cm³

Cell: 4.894 4.894 7.093 Å, 90.00 90.00 90.00°
Fractional positions:
Hg 0.000 0.500 0.718
Hg 0.000 0.500 0.282
Er 0.000 0.000 0.000
Hg 0.500 0.000 0.282
Hg 0.500 0.500 0.000
Ag 0.000 0.000 0.500
Hg 0.500 0.000 0.718